# Ba2MgRhI

Crystalline Ba2MgRhI at its relaxed geometry (PBE-GGA, Alexandria via LeMat-Bulk).

Computed properties:
Total magnetization in μB per formula unit: 0.00
Final energy in eV/atom: -3.485
Space-group type: P4/mmm

Geometry as POSCAR:
```
Ba2MgRhI
1.0
6.098 0.000 0.000
0.000 6.098 0.000
0.000 0.000 5.054
Ba Mg Rh I
2 1 1 1
Cartesian
0.000 3.049 0.000
3.049 0.000 0.000
0.000 0.000 2.527
0.000 0.000 0.000
3.049 3.049 2.527
```

***

# Ba2MgSI

Crystalline Ba2MgSI at its relaxed geometry (PBE-GGA, Alexandria via LeMat-Bulk).

Computed properties:
Total magnetization in μB per formula unit: 0.00
Final energy in eV/atom: -2.887
Space-group type: P4/mmm

Geometry as POSCAR:
```
Ba2MgSI
1.0
5.956 0.000 0.000
0.000 5.956 0.000
0.000 0.000 7.157
Ba Mg S I
2 1 1 1
Cartesian
0.000 2.978 0.000
2.978 0.000 0.000
0.000 0.000 3.578
2.978 2.978 0.000
2.978 2.978 3.578
```

***

# Ba2MgS2I2

Crystalline Ba2MgS2I2 at its relaxed geometry (PBE-GGA, Alexandria via LeMat-Bulk).

Computed properties:
Total magnetization in μB per formula unit: 0.00
Final energy in eV/atom: -4.169
Space-group type: I4/mmm

Geometry as POSCAR:
```
Ba2MgS2I2
1.0
-2.520 2.520 9.033
2.520 -2.520 9.033
2.520 2.520 -9.033
Ba Mg S I
2 1 2 2
Cartesian
0.000 0.000 2.012
0.000 0.000 16.054
0.000 0.000 9.033
2.520 0.000 0.000
0.000 2.520 0.000
0.000 0.000 5.768
0.000 0.000 12.298
```

***

# BaMgSbI2

Crystalline BaMgSbI2 at its relaxed geometry (PBE-GGA, Alexandria via LeMat-Bulk).

Computed properties:
Total magnetization in μB per formula unit: 0.77
Final energy in eV/atom: -2.912
ΔE to the lowest computed polymorph in meV/atom: 0
Space-group type: P4/mmm

Geometry as POSCAR:
```
BaMgSbI2
1.0
5.786 0.000 0.000
0.000 5.786 0.000
0.000 0.000 5.683
Ba Mg Sb I
1 1 1 2
Cartesian
0.000 0.000 0.000
2.893 2.893 2.841
2.893 2.893 0.000
0.000 2.893 2.841
2.893 0.000 2.841
```

***

# BaMgSb2I

Crystalline BaMgSb2I at its relaxed geometry (PBE-GGA, Alexandria via LeMat-Bulk).

Computed properties:
Total magnetization in μB per formula unit: 1.73
Final energy in eV/atom: -2.235
ΔE to the lowest computed polymorph in meV/atom: 890
Space-group type: P4/mmm

Geometry as POSCAR:
```
BaMgSb2I
1.0
6.602 0.000 0.000
0.000 6.602 0.000
0.000 0.000 6.527
Ba Mg Sb I
1 1 2 1
Cartesian
0.000 0.000 0.000
3.301 3.301 3.263
0.000 3.301 0.000
3.301 0.000 0.000
0.000 0.000 3.263
```

***

# BaMgSb2I

Crystalline BaMgSb2I at its relaxed geometry (PBE-GGA, Alexandria via LeMat-Bulk).

Computed properties:
Total magnetization in μB per formula unit: 0.00
Final energy in eV/atom: -3.126
ΔE to the lowest computed polymorph in meV/atom: 0
Space-group type: P4/mmm

Geometry as POSCAR:
```
BaMgSb2I
1.0
5.416 0.000 0.000
0.000 5.416 0.000
0.000 0.000 6.189
Ba Mg Sb I
1 1 2 1
Cartesian
0.000 0.000 0.000
2.708 2.708 3.094
0.000 2.708 3.094
2.708 0.000 3.094
2.708 2.708 0.000
```